## K4Er3PaSe8 (GGA-PBE)

Data for a geometry-optimized K4Er3PaSe8 structure.

E_form (uncorrected)   -1.625 eV/atom

Unit cell a=8.3793 b=9.0958 c=8.3794 alpha=117.43 beta=120.00 gamma=90.00
With the nearest neighbours (Å) after each atom.
Fractional positions:
1 K 0.5000 0.0000 0.5000  6 Se 3.32-3.33
2 K 0.0000 0.0000 0.0000  6 Se 3.32-3.33
3 K 0.5000 0.0000 0.0000  6 Se 3.29
4 K 0.0000 0.0000 0.5000  6 Se 3.32-3.33
5 Se 0.7325 0.7066 0.9696  2 Er 2.89, 1 Pa 2.91
6 Se 0.2675 0.2934 0.0304  2 Er 2.89, 1 Pa 2.91
7 Se 0.2654 0.2963 0.5308  3 Er 2.88
8 Se 0.2371 0.7066 0.9696  2 Er 2.89, 1 Pa 2.91
9 Se 0.7346 0.7037 0.4692  3 Er 2.88
10 Se 0.7629 0.2934 0.0304  2 Er 2.89, 1 Pa 2.91
11 Se 0.2371 0.7066 0.4742  2 Er 2.89, 1 Pa 2.91
12 Se 0.7629 0.2934 0.5258  2 Er 2.89, 1 Pa 2.91
13 Pa 0.0000 0.5000 0.0000  6 Se 2.91
14 Er 0.5000 0.5000 0.5000  6 Se 2.88-2.89
15 Er 0.0000 0.5000 0.5000  6 Se 2.88-2.89
16 Er 0.5000 0.5000 0.0000  6 Se 2.88-2.89